ScAlNiHg | GGA-PBE | relaxed

Lattice parameters (Å, degrees): 4.5748 4.5748 4.5748 60.00 60.00 60.00
Fractional coordinates of all 4 atoms:
Al  0.0000  0.0000  0.0000
Hg  0.2500  0.2500  0.2500
Ni  0.7500  0.7500  0.7500
Sc  0.5000  0.5000  0.5000

**Polymorph energy (0 for the lowest one)**: 0 meV per atom
**Density**: 8.124 g/cm³
**Space group**: F-43m